# 1
Density functional theory data (PBE) for crystalline Mg3Ni9GeAs2 at its relaxed geometry.

Calculated values
calculated formation energy = -0.02 eV per atom
crystal system = trigonal
calculated volume = 16.6 Å³ per atom

a = 5.9453 Å, b = 5.9453 Å, c = 8.1512 Å
α = 90.00°, β = 90.00°, γ = 120.00°
Space group P-3m1 (No. 164)
Unique sites:
Mg 0.0000 0.0000 0.0000 [1 per cell]
Mg 0.3333 0.6667 0.7329 [2 per cell]
Ni 0.0000 0.5000 0.0000 [3 per cell]
Ni 0.1328 0.2656 0.2697 [6 per cell]
Ge 0.0000 0.0000 0.5000 [1 per cell]
As 0.3333 0.6667 0.1887 [2 per cell]

=====

# 2
Density functional theory data (PBE) for crystalline MgGeAsO6 at its relaxed geometry.

Calculated values
formation energy from raw total energies = -1346 kJ/mol of formula units
crystal system = trigonal
calculated volume = 10.5 Å³ per atom

a = 4.9290 Å, b = 4.9290 Å, c = 8.9449 Å
α = 90.00°, β = 90.00°, γ = 120.00°
Space group P-31c (No. 163)
Unique sites:
Mg 0.0000 0.0000 0.0000 [2 per cell]
Ge 0.3333 0.6667 0.2500 [2 per cell]
As 0.3333 0.6667 0.7500 [2 per cell]
O 0.0085 0.3611 0.6360 [12 per cell]

=====

| no. | D(E_F) (states/eV/cell) |
| --- | --- |
| 1 | 9.05 |
| 2 | 7.42 |